Entry from the Alexandria database: a geometry-optimized Mn2TlCr structure (PBE-GGA).

Computed properties:
SG	Immm (71)
raw total energy	-28.57	eV/cell
crystal system	orthorhombic
DOS at the Fermi energy	3.8	states/eV/f.u.
formation energy	0.4387	eV per atom

Cell and atoms, written as CIF:
```
data_Mn2TlCr
_cell_length_a 4.795
_cell_length_b 4.795
_cell_length_c 4.795
_cell_angle_alpha 129.57
_cell_angle_beta 131.22
_cell_angle_gamma 72.78
_symmetry_space_group_name_H-M 'P 1'
_symmetry_Int_Tables_number 1
loop_
_symmetry_equiv_pos_as_xyz
'x,y,z'
loop_
_atom_site_label
_atom_site_type_symbol
_atom_site_fract_x
_atom_site_fract_y
_atom_site_fract_z
Tl1 Tl 0.750 0.250 0.500
Cr1 Cr 0.250 0.750 0.500
Mn1 Mn 0.504 0.504 0.000
Mn2 Mn 0.996 0.996 0.000
```